The following is a PBE calculation of an optimized crystal structure of Ac2ErNbO8, from Alexandria via LeMat-Bulk.

a b c (Å): 4.1642 7.3583 5.6608
angles (deg): 90.00 90.12 90.00
Space group P2/m (No. 10)
Asymmetric unit:
Ac  0.0000  0.2500  0.0000 [2 per cell]
Er  0.5000  0.0000  0.5000 [1 per cell]
Nb  0.5000  0.5000  0.5000 [1 per cell]
O  0.0013  0.0000  0.2637 [2 per cell]
O  0.0014  0.5000  0.3679 [2 per cell]
O  0.4991  0.2883  0.7321 [4 per cell]

Output
ΔE_f (raw) (meV/atom): -2751
Electronic total energy (eV per atom): -7.96